DFT (PBE+U) results for RbCr2O after structural relaxation.

E_tot: -181.31 eV/cell
Density: 3.20 g/cm3

abc: 9.4808 9.4808 9.4808
angles: 90.00 90.00 90.00
Space group Fd-3m (No. 227, origin choice 2)
Asymmetric unit:
Rb 0.1250 0.1250 0.1250 x8
Cr 0.0000 0.0000 0.5000 x16
O 0.1250 0.1250 0.6250 x8